1.
A relaxed CdTeP2 crystal. Source: Alexandria, functional GGA-PBE.

The structure belongs to space group I-42d (No. 122); the cell edges are 5.8281, 5.8281 and 13.3582 Å and the angles 90.00°, 90.00° and 90.00°. The inequivalent atoms are Cd at (0.0000, 0.0000, 0.0000), Te at (0.0000, 0.0000, 0.5000) and P at (0.2457, 0.2500, 0.1250).

As for the electronic total energy: -3.356 eV per atom. The value obtained for the relative energy among the computed polymorphs is 217.3 meV per atom. Its density of states at the Fermi level is 0.90 states/eV/f.u. The value obtained for the energy relative to the elements, uncorrected is 363 meV/atom. The calculation puts the density at 4.42 Mg/m³.

2.
A relaxed CdTe2P crystal. Source: Alexandria, functional GGA-PBE.

The structure belongs to space group P4mm (No. 99); the cell edges are 3.3186, 3.3186 and 9.4203 Å and the angles 90.00°, 90.00° and 90.00°. The inequivalent atoms are Cd at (0.0000, 0.0000, 0.0000), Te at (0.0000, 0.0000, 0.3748), Te at (0.5000, 0.5000, 0.7351) and P at (0.5000, 0.5000, 0.2125).

As for the electronic total energy: -2.808 eV per atom. The value obtained for the relative energy among the computed polymorphs is 323.1 meV per atom. Its density of states at the Fermi level is 2.67 states/eV/f.u. The value obtained for the energy relative to the elements, uncorrected is 344 meV/atom. The calculation puts the density at 6.38 Mg/m³.

Question: Which formula does entry 2 have?
Answer: CdTe2P